CaDy5Pt6 PBE optimized geometry; energy relative to the elements = -1.191 eV/atom; D(E_F) = 5.65 states/eV/cell
1.0
-3.698 3.146 0.898
2.259 1.106 -8.182
-2.579 -7.695 2.723
Dy Pt Ca
5 6 1
direct
0.500 0.161 0.839
0.000 0.668 0.332
0.000 0.332 0.668
0.500 0.500 0.500
0.500 0.839 0.161
0.233 0.733 0.733
0.767 0.267 0.267
0.740 0.913 0.567
0.260 0.433 0.087
0.260 0.087 0.433
0.740 0.567 0.913
0.000 0.000 0.000

Ca3DyPt4 PBE optimized geometry; energy relative to the elements = -0.990 eV/atom; D(E_F) = 2.76 states/eV/cell
1.0
4.749 0.000 -1.282
-0.342 4.741 -1.265
-0.436 -0.502 7.822
Pt Ca Dy
4 3 1
direct
0.120 0.120 0.239
0.620 0.619 0.239
0.380 0.381 0.761
0.880 0.880 0.761
0.247 0.747 0.495
0.753 0.253 0.505
0.000 0.500 0.000
0.500 0.000 0.000

CaDy2Pt3 PBE optimized geometry; energy relative to the elements = -1.150 eV/atom; D(E_F) = 2.27 states/eV/cell
1.0
3.466 0.000 0.000
0.000 3.466 0.000
0.000 0.000 10.685
Pt Dy Ca
3 2 1
direct
0.000 0.000 0.682
0.000 0.000 0.318
0.000 0.000 0.000
0.500 0.500 0.168
0.500 0.500 0.832
0.500 0.500 0.500

CaDyPt4 PBE optimized geometry; energy relative to the elements = -1.036 eV/atom; D(E_F) = 6.80 states/eV/cell
1.0
-5.292 0.735 1.030
-1.927 -0.780 5.029
-1.626 4.252 2.981
Pt Ca Dy
4 1 1
direct
0.625 0.125 0.625
0.125 0.625 0.625
0.625 0.625 0.125
0.625 0.625 0.625
0.000 0.000 0.000
0.250 0.250 0.250

CaDySi2Pt5 PBE optimized geometry; energy relative to the elements, uncorrected = -0.91 eV per atom; D(E_F) = 2.27 states/eV/cell
1.0
4.060 0.000 0.000
0.000 4.060 0.000
0.000 0.000 11.365
Pt Ca Si Dy
5 1 2 1
direct
0.500 0.500 0.500
0.000 0.500 0.814
0.000 0.500 0.186
0.500 0.000 0.186
0.500 0.000 0.814
0.000 0.000 0.500
0.500 0.500 0.295
0.500 0.500 0.705
0.000 0.000 0.000

CaDySnPt PBE optimized geometry; energy relative to the elements = -0.783 eV/atom; D(E_F) = 2.58 states/eV/cell
1.0
-1.330 4.850 1.085
-4.649 1.753 -1.336
-3.528 0.951 3.621
Sn Ca Dy Pt
1 1 1 1
direct
0.750 0.750 0.750
0.500 0.500 0.500
0.000 0.000 0.000
0.250 0.250 0.250

CaDyZnPt PBE optimized geometry; ΔE to the lowest computed polymorph = 0 meV/atom; energy relative to the elements = -0.742 eV/atom; D(E_F) = 2.42 states/eV/cell
1.0
-0.040 -3.700 -1.426
3.845 0.562 -1.566
2.273 -0.044 5.564
Dy Ca Pt Zn
1 1 1 1
direct
0.861 0.500 0.722
0.148 0.000 0.296
0.421 0.000 0.842
0.570 0.500 0.140

CaDyZnPt PBE optimized geometry; ΔE to the lowest computed polymorph = 53 meV/atom; energy relative to the elements = -0.688 eV/atom; D(E_F) = 2.64 states/eV/cell
1.0
-4.008 2.274 1.899
-4.560 -1.768 -0.964
-2.635 -2.200 3.614
Ca Pt Dy Zn
1 1 1 1
direct
0.000 0.000 0.000
0.750 0.750 0.750
0.500 0.500 0.500
0.250 0.250 0.250